PBE-GGA Sc2V2I, relaxed; magnetization = 0.000 μB/atom; formation energy without anion corrections = 0.131 eV per atom; SG = I4/mmm, No. 139; total DFT energy (no corrections) = -0.467 Ry per atom; V = 109.4 Å³ per cell
1.0
-1.282 2.890 -1.576
-1.601 0.931 3.008
5.699 6.394 3.129
I Sc V
1 2 2
direct
0.000 0.000 0.000
0.378 0.378 0.244
0.622 0.622 0.756
0.750 0.250 0.500
0.250 0.750 0.500